1.
VASP calculation (PBE) on BaGa2Au6 after structural relaxation.

Properties
Fermi-level density of states (states/eV/cell): 3.70
DFT formation energy (eV per formula unit): -2.256
Volume (Å³/f.u.): 221.3

Unit cell a=6.1906 b=6.1906 c=6.6681 alpha=90.00 beta=90.00 gamma=120.00
Space group P6/mmm (No. 191)
Symmetry-distinct sites (fractional):
Ba 0.0000 0.0000 0.0000 [1 per cell]
Ga 0.3333 0.6667 0.5000 [2 per cell]
Au 0.0000 0.5000 0.2137 [6 per cell]

2.
VASP calculation (PBE) on Ta5Mn12Ga3 after structural relaxation.

Properties
Fermi-level density of states (states/eV/cell): 187.73
DFT formation energy (eV per formula unit): 21.965
Volume (Å³/f.u.): 338.5

Unit cell a=13.938 b=13.938 c=13.938 alpha=90.00 beta=90.00 gamma=90.00
Space group Ia-3d (No. 230)
Symmetry-distinct sites (fractional):
Ta 0.000 0.000 0.000 [16 per cell]
Ta 0.000 0.250 0.375 [24 per cell]
Mn 0.003 0.082 0.155 [96 per cell]
Ga 0.000 0.250 0.125 [24 per cell]

3.
VASP calculation (PBE) on Ac3CuGe3 after structural relaxation.

Properties
Fermi-level density of states (states/eV/cell): 9.87
DFT formation energy (eV per formula unit): -4.508
Volume (Å³/f.u.): 193.2

Unit cell a=4.316 b=4.622 c=19.367 alpha=90.00 beta=90.00 gamma=90.00
Space group Imm2 (No. 44)
Symmetry-distinct sites (fractional):
Ac 0.000 0.000 0.000 [2 per cell]
Ac 0.000 0.000 0.364 [2 per cell]
Ac 0.000 0.500 0.682 [2 per cell]
Cu 0.000 0.500 0.112 [2 per cell]
Ge 0.000 0.000 0.547 [2 per cell]
Ge 0.000 0.000 0.822 [2 per cell]
Ge 0.000 0.500 0.238 [2 per cell]

4.
VASP calculation (PBE) on TlNiPtAu after structural relaxation.

Properties
Fermi-level density of states (states/eV/cell): 7.74
DFT formation energy (eV per formula unit): 0.473
Volume (Å³/f.u.): 67.9

Unit cell a=6.477 b=6.477 c=6.477 alpha=90.00 beta=90.00 gamma=90.00
Space group F-43m (No. 216)
Symmetry-distinct sites (fractional):
Tl 0.000 0.000 0.000 [4 per cell]
Ni 0.250 0.250 0.750 [4 per cell]
Pt 0.250 0.250 0.250 [4 per cell]
Au 0.000 0.000 0.500 [4 per cell]

5.
VASP calculation (PBE) on TlAg4Pb after structural relaxation.

Properties
Fermi-level density of states (states/eV/cell): 20.24
DFT formation energy (eV per formula unit): 0.552
Volume (Å³/f.u.): 132.1

Unit cell a=8.086 b=8.086 c=8.086 alpha=90.00 beta=90.00 gamma=90.00
Space group F-43m (No. 216)
Symmetry-distinct sites (fractional):
Tl 0.000 0.000 0.000 [4 per cell]
Ag 0.125 0.125 0.625 [16 per cell]
Pb 0.250 0.250 0.250 [4 per cell]

6.
VASP calculation (PBE) on HgC3 after structural relaxation.

Properties
Fermi-level density of states (states/eV/cell): 8.78
DFT formation energy (eV per formula unit): 12.387
Volume (Å³/f.u.): 63.2

Unit cell a=4.6482 b=4.6482 c=13.5031 alpha=90.00 beta=90.00 gamma=120.00
Space group P6_3/mmc (No. 194)
Symmetry-distinct sites (fractional):
Hg 0.0000 0.0000 0.0000 [2 per cell]
Hg 0.3333 0.6667 0.2500 [2 per cell]
C 0.0000 0.5000 0.0000 [6 per cell]
C 0.2289 0.4579 0.7500 [6 per cell]

7.
VASP calculation (PBE) on PmScPt after structural relaxation.

Properties
Fermi-level density of states (states/eV/cell): 11.32
DFT formation energy (eV per formula unit): -2.261
Volume (Å³/f.u.): 78.2

Unit cell a=6.789 b=6.789 c=6.789 alpha=90.00 beta=90.00 gamma=90.00
Space group F-43m (No. 216)
Symmetry-distinct sites (fractional):
Pm 0.000 0.000 0.000 [4 per cell]
Sc 0.000 0.000 0.500 [4 per cell]
Pt 0.250 0.250 0.250 [4 per cell]

8.
VASP calculation (PBE) on NaLiMgAg after structural relaxation.

Properties
Fermi-level density of states (states/eV/cell): 6.52
DFT formation energy (eV per formula unit): -0.203
Volume (Å³/f.u.): 82.8

Unit cell a=6.918 b=6.918 c=6.918 alpha=90.00 beta=90.00 gamma=90.00
Space group F-43m (No. 216)
Symmetry-distinct sites (fractional):
Na 0.000 0.000 0.000 [4 per cell]
Li 0.250 0.250 0.750 [4 per cell]
Mg 0.250 0.250 0.250 [4 per cell]
Ag 0.000 0.000 0.500 [4 per cell]

9.
VASP calculation (PBE) on Ho2ScIn after structural relaxation.

Properties
Fermi-level density of states (states/eV/cell): 24.90
DFT formation energy (eV per formula unit): -0.613
Volume (Å³/f.u.): 106.7

Unit cell a=7.529 b=7.529 c=7.529 alpha=90.00 beta=90.00 gamma=90.00
Space group Fm-3m (No. 225)
Symmetry-distinct sites (fractional):
Ho 0.250 0.250 0.250 [8 per cell]
Sc 0.000 0.000 0.000 [4 per cell]
In 0.000 0.000 0.500 [4 per cell]

10.
VASP calculation (PBE) on Ca2IrAu after structural relaxation.

Properties
Fermi-level density of states (states/eV/cell): 2.88
DFT formation energy (eV per formula unit): -1.279
Volume (Å³/f.u.): 85.7

Unit cell a=4.260 b=4.260 c=9.439 alpha=90.00 beta=90.00 gamma=90.00
Space group I-4m2 (No. 119)
Symmetry-distinct sites (fractional):
Ca 0.000 0.000 0.000 [2 per cell]
Ca 0.000 0.500 0.250 [2 per cell]
Ir 0.000 0.500 0.750 [2 per cell]
Au 0.000 0.000 0.500 [2 per cell]

Repeat the sixth record exactly.
VASP calculation (PBE) on HgC3 after structural relaxation.

Properties
Fermi-level density of states (states/eV/cell): 8.78
DFT formation energy (eV per formula unit): 12.387
Volume (Å³/f.u.): 63.2

Unit cell a=4.6482 b=4.6482 c=13.5031 alpha=90.00 beta=90.00 gamma=120.00
Space group P6_3/mmc (No. 194)
Symmetry-distinct sites (fractional):
Hg 0.0000 0.0000 0.0000 [2 per cell]
Hg 0.3333 0.6667 0.2500 [2 per cell]
C 0.0000 0.5000 0.0000 [6 per cell]
C 0.2289 0.4579 0.7500 [6 per cell]

Q: Which of these has the lowest volume?
A: HgC3